A relaxed Ba2CuAgAu6 crystal, computed with GGA-PBE.

a = 7.074 Å, b = 7.074 Å, c = 9.239 Å
α = 126.97°, β = 126.97°, γ = 46.98°
Sites, in units of the cell vectors:
Ba (0.242, 0.242, 0.197)
Ba (0.758, 0.758, 0.803)
Cu (0.000, 0.000, 0.500)
Ag (0.500, 0.500, 0.000)
Au (0.236, 0.739, 0.727)
Au (0.247, 0.247, 0.605)
Au (0.261, 0.764, 0.273)
Au (0.739, 0.236, 0.727)
Au (0.753, 0.753, 0.395)
Au (0.764, 0.261, 0.273)

Computed properties:
Crystal system: monoclinic
D(E_F), states/eV per cell: 3.49
Spin magnetization, μB/f.u.: 0.00
E_form, eV/atom: -0.399